Hf4Mn2Ga5 | Alexandria via LeMat-Bulk | GGA-PBE | optimized geometry; space-group type = P2/m (10); E_form = -0.323 eV per atom
1.0
7.1038 0.0000 0.0000
0.0000 3.2968 0.0000
-0.4620 0.0000 8.2399
Hf Mn Ga
4 2 5
Direct
0.1968 0.0000 0.3489
0.2397 0.0000 0.9135
0.7603 0.0000 0.0865
0.8032 0.0000 0.6511
0.0701 0.5000 0.1176
0.9299 0.5000 0.8824
0.1352 0.5000 0.6313
0.4391 0.5000 0.1616
0.5000 0.5000 0.5000
0.5609 0.5000 0.8384
0.8648 0.5000 0.3687